No. 1
# CsCrS2Cl

A relaxed CsCrS2Cl crystal (PBE-GGA, Alexandria via LeMat-Bulk).

Geometry as POSCAR:
```
CsCrS2Cl
1.0
5.458 0.000 0.000
0.000 5.458 0.000
0.000 0.000 6.187
Cs Cr S Cl
1 1 2 1
Direct
0.000 0.000 0.000
0.500 0.500 0.500
0.000 0.500 0.000
0.500 0.000 0.000
0.000 0.000 0.500
```

Properties
E above lowest polymorph, meV/atom: 1694
Crystal system: tetragonal
Space-group type: P4/mmm, No. 123
Calculated density, g/cm3: 2.6
Uncorrected energy, eV per atom: -3.148
Volume, Å³ per atom: 36.9
Formation energy (no corrections), eV per atom: 0.97


No. 2
# CrFe2Ir

A relaxed CrFe2Ir crystal (PBE-GGA, Alexandria via LeMat-Bulk).

Geometry as POSCAR:
```
CrFe2Ir
1.0
-0.949 -2.258 -1.373
2.579 -0.474 -1.003
1.289 -3.585 5.007
Cr Fe Ir
1 2 1
Direct
0.500 0.500 0.769
0.000 0.000 0.999
0.500 0.500 0.228
0.000 0.000 0.504
```

Properties
ΔE_f, eV per atom: 0.009
Crystal system: tetragonal
Space-group type: P4mm, No. 99
Calculated density, g/cm3: 11.9
Uncorrected energy, eV per atom: -8.843
Volume, Å³ per atom: 12.4


No. 3
# SiRh2Pb

A relaxed SiRh2Pb crystal (PBE-GGA, Alexandria via LeMat-Bulk).

Geometry as POSCAR:
```
SiRh2Pb
1.0
-2.267 2.246 -4.875
-4.496 -3.686 0.392
-6.090 2.894 0.683
Pb Si Rh
2 2 4
Direct
0.000 0.000 0.000
0.750 0.250 0.500
0.500 0.500 0.000
0.250 0.750 0.500
0.563 0.125 0.250
0.187 0.625 0.250
0.375 0.437 0.750
0.875 0.813 0.750
```

Properties
E above lowest polymorph, meV/atom: 493
Crystal system: tetragonal
Space-group type: I-42d, No. 122
Calculated density, g/cm3: 8.0
Uncorrected energy, eV per atom: -5.882
Volume, Å³ per atom: 22.8
Formation energy (no corrections), eV per atom: 0.08


No. 4
# Ba3Li2PuO6

A relaxed Ba3Li2PuO6 crystal (PBE-GGA, Alexandria via LeMat-Bulk).

Geometry as POSCAR:
```
Ba3Li2PuO6
1.0
6.097 0.000 0.000
-3.048 5.280 0.000
0.000 0.000 6.996
Ba Li Pu O
3 2 1 6
Direct
0.333 0.667 0.638
0.667 0.333 0.362
0.000 0.000 0.000
0.667 0.333 0.776
0.333 0.667 0.224
0.000 0.000 0.500
0.669 0.835 0.313
0.165 0.331 0.313
0.165 0.835 0.313
0.835 0.669 0.687
0.331 0.165 0.687
0.835 0.165 0.687
```

Properties
Crystal system: trigonal
Space-group type: P-3m1, No. 164
Calculated density, g/cm3: 5.6
Uncorrected energy, eV per atom: -6.895
Volume, Å³ per atom: 18.8
Formation energy (no corrections), eV per atom: -2.42


No. 5
# Ba2MgGa3Ag4

A relaxed Ba2MgGa3Ag4 crystal (PBE-GGA, Alexandria via LeMat-Bulk).

Geometry as POSCAR:
```
Ba2MgGa3Ag4
1.0
-2.366 3.891 0.783
-2.674 -0.890 -3.661
-7.342 -5.828 6.778
Ba Mg Ga Ag
2 1 3 4
Direct
0.500 0.000 0.240
0.000 0.500 0.760
0.500 0.500 0.500
0.000 0.000 0.500
0.500 0.000 0.879
0.000 0.500 0.121
0.500 0.500 0.000
0.000 0.000 0.000
0.500 0.000 0.637
0.000 0.500 0.363
```

Properties
ΔE_f, eV per atom: -0.276
Crystal system: tetragonal
Space-group type: P-4m2, No. 115
Calculated density, g/cm3: 6.3
Uncorrected energy, eV per atom: -2.868
Volume, Å³ per atom: 24.7


No. 6
# Be2Bi

A relaxed Be2Bi crystal (PBE-GGA, Alexandria via LeMat-Bulk).

Geometry as POSCAR:
```
Be2Bi
1.0
-2.700 -2.178 -1.077
3.301 -0.333 -1.480
0.973 -4.961 7.570
Be Bi
4 2
Direct
0.889 0.904 0.934
0.590 0.307 0.043
0.960 0.047 0.158
0.258 0.643 0.046
0.363 0.853 0.360
0.156 0.436 0.734
```

Properties
E above lowest polymorph, meV/atom: 25
ΔE_f, eV per atom: 0.222
Crystal system: triclinic
Space-group type: P1, No. 1
Calculated density, g/cm3: 7.4
Uncorrected energy, eV per atom: -3.556
Volume, Å³ per atom: 16.9


No. 7
# Mg2ScBr

A relaxed Mg2ScBr crystal (PBE-GGA, Alexandria via LeMat-Bulk).

Geometry as POSCAR:
```
Mg2ScBr
1.0
6.233 0.009 0.000
3.527 5.139 0.000
-4.880 -2.574 2.900
Br Mg Sc
1 2 1
Direct
0.750 0.250 0.500
0.000 0.000 0.000
0.500 0.500 0.000
0.250 0.750 0.500
```

Properties
E above lowest polymorph, meV/atom: 203
Crystal system: tetragonal
Space-group type: I4/mmm, No. 139
Calculated density, g/cm3: 3.1
Uncorrected energy, eV per atom: -2.970
Volume, Å³ per atom: 23.2
Formation energy (no corrections), eV per atom: -0.17


No. 8
# TaCoNi3

A relaxed TaCoNi3 crystal (PBE-GGA, Alexandria via LeMat-Bulk).

Geometry as POSCAR:
```
TaCoNi3
1.0
-3.965 -0.641 1.295
1.024 -4.814 0.752
-0.399 0.865 6.083
Ta Co Ni
2 2 6
Direct
0.602 0.750 0.296
0.398 0.250 0.704
0.373 0.750 0.754
0.627 0.250 0.246
0.190 0.005 0.121
0.810 0.995 0.879
0.190 0.495 0.121
0.810 0.505 0.879
0.989 0.750 0.523
0.011 0.250 0.477
```

Properties
E above lowest polymorph, meV/atom: 0
ΔE_f, eV per atom: -0.125
Crystal system: orthorhombic
Space-group type: Cmcm, No. 63
Calculated density, g/cm3: 11.4
Uncorrected energy, eV per atom: -7.385
Volume, Å³ per atom: 12.2


No. 9
# PrHoTmLu

A relaxed PrHoTmLu crystal (PBE-GGA, Alexandria via LeMat-Bulk).

Geometry as POSCAR:
```
PrHoTmLu
1.0
-0.316 -5.436 1.511
3.717 -3.726 -2.059
3.940 -2.226 3.385
Pr Lu Tm Ho
1 1 1 1
Direct
0.250 0.250 0.250
0.000 0.000 0.000
0.500 0.500 0.500
0.750 0.750 0.750
```

Properties
ΔE_f, eV per atom: 0.103
Crystal system: cubic
Space-group type: F-43m, No. 216
Calculated density, g/cm3: 8.5
Uncorrected energy, eV per atom: -4.484
Volume, Å³ per atom: 31.9


No. 10
# Rb2SrLi2Br6

A relaxed Rb2SrLi2Br6 crystal (PBE-GGA, Alexandria via LeMat-Bulk).

Geometry as POSCAR:
```
Rb2SrLi2Br6
1.0
-3.367 -7.391 0.009
7.507 1.045 2.142
-5.552 2.537 6.033
Rb Sr Li Br
2 1 2 6
Direct
0.711 0.421 0.165
0.289 0.579 0.835
0.500 0.000 0.500
0.945 0.889 0.737
0.055 0.111 0.263
0.744 0.488 0.587
0.191 0.884 0.201
0.308 0.116 0.799
0.809 0.116 0.799
0.692 0.884 0.201
0.256 0.512 0.413
```

Properties
Crystal system: monoclinic
Space-group type: C2/m, No. 12
Calculated density, g/cm3: 3.0
Uncorrected energy, eV per atom: -3.330
Volume, Å³ per atom: 38.2
Formation energy (no corrections), eV per atom: -1.74


No. 11
# ZrTc2I4

A relaxed ZrTc2I4 crystal (PBE-GGA, Alexandria via LeMat-Bulk).

Geometry as POSCAR:
```
ZrTc2I4
1.0
-4.542 3.411 -0.869
-2.477 -4.105 -3.168
-6.478 -2.874 3.578
I Tc Zr
4 2 1
Direct
0.785 0.785 0.431
0.215 0.215 0.569
0.000 0.500 0.000
0.500 0.000 0.000
0.578 0.578 0.844
0.422 0.422 0.156
0.000 0.000 0.000
```

Properties
Crystal system: tetragonal
Space-group type: I4/mmm, No. 139
Calculated density, g/cm3: 5.9
Uncorrected energy, eV per atom: -4.569
Volume, Å³ per atom: 32.2
Formation energy (no corrections), eV per atom: 0.50


No. 12
# BiIr2CCl

A relaxed BiIr2CCl crystal (PBE-GGA, Alexandria via LeMat-Bulk).

Geometry as POSCAR:
```
BiIr2CCl
1.0
-3.780 1.151 -0.704
-1.711 -5.393 0.368
-0.595 0.458 3.943
C Ir Bi Cl
1 2 1 1
Direct
0.000 0.000 0.000
0.000 0.000 0.500
0.500 0.000 0.000
0.000 0.500 0.000
0.500 0.500 0.500
```

Properties
Crystal system: tetragonal
Space-group type: P4/mmm, No. 123
Calculated density, g/cm3: 11.6
Uncorrected energy, eV per atom: -5.903
Volume, Å³ per atom: 18.3
Formation energy (no corrections), eV per atom: 0.63